(1)
The following is a DFT calculation (PBE) of a relaxed U2CuPt6 crystal. Values from VASP.

SG   No. 12
Size of the total moment   4.0 μB per formula unit

Geometry as Quantum ESPRESSO input:
```
&SYSTEM
  ibrav = 0, nat = 9, ntyp = 3
/
ATOMIC_SPECIES
U 238.03 U.upf
Cu 63.55 Cu.upf
Pt 195.08 Pt.upf
ATOMIC_POSITIONS angstrom
U 1.605 0.000 2.186
U 8.031 0.000 3.863
Cu 4.818 0.000 3.025
Pt 3.994 1.435 1.138
Pt 3.159 0.000 4.906
Pt 5.642 1.435 4.912
Pt 3.994 -1.435 1.138
Pt 6.477 0.000 1.143
Pt 5.642 -1.435 4.912
CELL_PARAMETERS angstrom
4.824 -2.786 0.000
4.824 2.786 0.000
-0.013 0.000 6.049
```

(2)
The following is a DFT calculation (PBE) of a relaxed PmAl4Ni crystal. Values from VASP.

SG   No. 63
Energy relative to the lowest polymorph listed for this composition   0.0 meV/atom
Size of the total moment   0.0 μB per formula unit

Geometry as Quantum ESPRESSO input:
```
&SYSTEM
  ibrav = 0, nat = 12, ntyp = 3
/
ATOMIC_SPECIES
Pm 145.00 Pm.upf
Al 26.98 Al.upf
Ni 58.69 Ni.upf
ATOMIC_POSITIONS angstrom
Pm 2.054 6.038 4.990
Pm 2.054 -6.038 1.663
Al 2.054 6.615 1.663
Al 2.054 2.987 3.683
Al 2.054 2.987 6.296
Al 2.054 0.000 0.000
Al 2.054 0.000 3.326
Al 2.054 -2.987 0.357
Al 2.054 -2.987 2.969
Al 2.054 -6.615 4.990
Ni 2.054 4.298 1.663
Ni 2.054 -4.298 4.990
CELL_PARAMETERS angstrom
2.054 -7.841 0.000
2.054 7.841 0.000
0.000 0.000 6.653
```

(3)
The following is a DFT calculation (PBE) of a relaxed Al2FeNi5 crystal. Values from VASP.

SG   No. 55
Size of the total moment   3.7 μB per formula unit

Geometry as Quantum ESPRESSO input:
```
&SYSTEM
  ibrav = 0, nat = 16, ntyp = 3
/
ATOMIC_SPECIES
Al 26.98 Al.upf
Fe 55.84 Fe.upf
Ni 58.69 Ni.upf
ATOMIC_POSITIONS angstrom
Al 1.086 1.349 0.000
Al 1.431 6.383 0.000
Al 3.603 3.685 0.000
Al 3.948 8.719 0.000
Fe 0.000 5.034 1.819
Fe 2.517 0.000 1.819
Ni 0.000 0.000 1.819
Ni 0.155 7.522 1.819
Ni 1.122 3.849 0.000
Ni 1.395 8.883 0.000
Ni 2.363 2.487 1.819
Ni 2.517 5.034 1.819
Ni 2.672 7.581 1.819
Ni 3.639 1.186 0.000
Ni 3.912 6.220 0.000
Ni 4.880 2.547 1.819
CELL_PARAMETERS angstrom
5.034 0.000 0.000
0.000 10.068 0.000
0.000 0.000 3.639
```

(4)
The following is a DFT calculation (PBE) of a relaxed Lu2CdTc crystal. Values from VASP.

SG   No. 123
Size of the total moment   0.0 μB per formula unit

Geometry as Quantum ESPRESSO input:
```
&SYSTEM
  ibrav = 0, nat = 4, ntyp = 3
/
ATOMIC_SPECIES
Lu 174.97 Lu.upf
Cd 112.41 Cd.upf
Tc 98.00 Tc.upf
ATOMIC_POSITIONS angstrom
Lu 0.000 0.000 1.585
Lu 0.000 0.000 5.879
Cd 1.721 1.721 3.732
Tc 1.721 1.721 0.000
CELL_PARAMETERS angstrom
3.442 0.000 0.000
0.000 3.442 0.000
0.000 0.000 7.464
```

(5)
The following is a DFT calculation (PBE) of a relaxed CdPb3Br crystal. Values from VASP.

SG   No. 221
Energy relative to the lowest polymorph listed for this composition   145.3 meV/atom
Size of the total moment   0.0 μB per formula unit

Geometry as Quantum ESPRESSO input:
```
&SYSTEM
  ibrav = 0, nat = 5, ntyp = 3
/
ATOMIC_SPECIES
Cd 112.41 Cd.upf
Pb 207.20 Pb.upf
Br 79.90 Br.upf
ATOMIC_POSITIONS angstrom
Cd 0.000 0.000 0.000
Pb 0.000 2.880 2.880
Pb 2.880 0.000 2.880
Pb 2.880 2.880 0.000
Br 2.880 2.880 2.880
CELL_PARAMETERS angstrom
5.760 0.000 0.000
0.000 5.760 0.000
0.000 0.000 5.760
```

(6)
The following is a DFT calculation (PBE) of a relaxed ZrAuO2F crystal. Values from VASP.

SG   No. 123
Size of the total moment   0.0 μB per formula unit

Geometry as Quantum ESPRESSO input:
```
&SYSTEM
  ibrav = 0, nat = 5, ntyp = 4
/
ATOMIC_SPECIES
Zr 91.22 Zr.upf
Au 196.97 Au.upf
O 16.00 O.upf
F 19.00 F.upf
ATOMIC_POSITIONS angstrom
Zr 0.000 0.000 0.000
Au 2.087 2.087 2.111
O 0.000 2.087 0.000
O 2.087 0.000 0.000
F 0.000 0.000 2.111
CELL_PARAMETERS angstrom
4.174 0.000 0.000
0.000 4.174 0.000
0.000 0.000 4.221
```

(7)
The following is a DFT calculation (PBE) of a relaxed V2NiSbP crystal. Values from VASP.

SG   No. 123
Size of the total moment   4.5 μB per formula unit

Geometry as Quantum ESPRESSO input:
```
&SYSTEM
  ibrav = 0, nat = 5, ntyp = 4
/
ATOMIC_SPECIES
V 50.94 V.upf
Ni 58.69 Ni.upf
Sb 121.76 Sb.upf
P 30.97 P.upf
ATOMIC_POSITIONS angstrom
V 0.000 2.379 0.000
V 2.379 0.000 0.000
Ni 0.000 0.000 0.000
Sb 2.379 2.379 1.982
P 0.000 0.000 1.982
CELL_PARAMETERS angstrom
4.759 0.000 0.000
0.000 4.759 0.000
0.000 0.000 3.965
```

(8)
The following is a DFT calculation (PBE) of a relaxed K2CaMn crystal. Values from VASP.

SG   No. 8
Energy relative to the lowest polymorph listed for this composition   144.3 meV/atom
Size of the total moment   4.2 μB per formula unit

Geometry as Quantum ESPRESSO input:
```
&SYSTEM
  ibrav = 0, nat = 4, ntyp = 3
/
ATOMIC_SPECIES
K 39.10 K.upf
Ca 40.08 Ca.upf
Mn 54.94 Mn.upf
ATOMIC_POSITIONS angstrom
K 0.000 0.000 0.000
K 1.847 0.000 6.101
Ca 7.839 0.000 2.606
Mn 4.867 0.000 3.718
CELL_PARAMETERS angstrom
5.297 -1.890 0.000
5.297 1.890 0.000
-0.856 0.000 9.415
```

(9)
The following is a DFT calculation (PBE) of a relaxed CaTb6Y3 crystal. Values from VASP.

SG   No. 11
Size of the total moment   0.0 μB per formula unit

Geometry as Quantum ESPRESSO input:
```
&SYSTEM
  ibrav = 0, nat = 20, ntyp = 3
/
ATOMIC_SPECIES
Ca 40.08 Ca.upf
Tb 158.93 Tb.upf
Y 88.91 Y.upf
ATOMIC_POSITIONS angstrom
Ca 1.349 0.887 0.961
Ca 6.728 2.660 14.617
Tb -0.461 0.887 7.164
Tb -1.943 2.660 13.270
Tb 0.748 2.660 4.255
Tb 1.627 2.660 9.585
Tb 1.111 0.887 12.805
Tb 4.512 2.660 0.292
Tb 3.565 0.887 15.287
Tb 6.966 2.660 2.773
Tb 6.451 0.887 5.993
Tb 7.329 0.887 11.323
Tb 10.020 0.887 2.308
Tb 8.538 2.660 8.415
Y -1.269 0.887 10.432
Y 2.899 0.887 6.701
Y 3.911 0.887 3.387
Y 4.166 2.660 12.191
Y 5.178 2.660 8.877
Y 9.346 2.660 5.147
CELL_PARAMETERS angstrom
12.006 0.000 0.000
0.000 3.546 0.000
-3.929 0.000 15.578
```

(10)
The following is a DFT calculation (PBE) of a relaxed Mg6InGa6 crystal. Values from VASP.

SG   No. 71
Size of the total moment   0.0 μB per formula unit

Geometry as Quantum ESPRESSO input:
```
&SYSTEM
  ibrav = 0, nat = 13, ntyp = 3
/
ATOMIC_SPECIES
Mg 24.30 Mg.upf
In 114.82 In.upf
Ga 69.72 Ga.upf
ATOMIC_POSITIONS angstrom
Mg 0.000 0.000 1.495
Mg 2.731 1.540 0.000
Mg 0.000 3.170 0.000
Mg 0.000 6.613 0.000
Mg 0.000 3.351 5.021
Mg 0.000 0.000 8.546
In 0.000 0.000 5.021
Ga 1.366 2.446 -2.510
Ga 1.366 -2.446 2.510
Ga 2.731 0.000 2.614
Ga -1.366 2.446 2.510
Ga 1.366 2.446 2.510
Ga 0.000 4.892 2.407
CELL_PARAMETERS angstrom
-2.731 4.892 5.021
2.731 -4.892 5.021
2.731 4.892 -5.021
```

(11)
The following is a DFT calculation (PBE) of a relaxed TaReTc crystal. Values from VASP.

SG   No. 156
Energy relative to the lowest polymorph listed for this composition   0.0 meV/atom
Size of the total moment   0.0 μB per formula unit

Geometry as Quantum ESPRESSO input:
```
&SYSTEM
  ibrav = 0, nat = 3, ntyp = 3
/
ATOMIC_SPECIES
Ta 180.95 Ta.upf
Re 186.21 Re.upf
Tc 98.00 Tc.upf
ATOMIC_POSITIONS angstrom
Ta 0.000 0.000 0.000
Re 0.000 2.558 1.908
Tc 2.215 1.279 0.887
CELL_PARAMETERS angstrom
4.430 0.000 0.000
-2.215 3.836 0.000
0.000 0.000 2.800
```

(12)
The following is a DFT calculation (PBE) of a relaxed SrCaAgGe crystal. Values from VASP.

SG   No. 216
Size of the total moment   0.0 μB per formula unit

Geometry as Quantum ESPRESSO input:
```
&SYSTEM
  ibrav = 0, nat = 4, ntyp = 4
/
ATOMIC_SPECIES
Sr 87.62 Sr.upf
Ca 40.08 Ca.upf
Ag 107.87 Ag.upf
Ge 72.64 Ge.upf
ATOMIC_POSITIONS angstrom
Sr 0.000 0.000 0.000
Ca 3.770 3.770 3.770
Ag 1.885 1.885 1.885
Ge 5.655 5.655 5.655
CELL_PARAMETERS angstrom
0.000 3.770 3.770
3.770 0.000 3.770
3.770 3.770 0.000
```

Taking the records one at a time from the top gives electronic total energy values of -7.561 -4.805 -6.000 -5.332 -2.286 -6.678 -6.238 -2.721 -4.837 -2.433 -11.627 -3.218 eV/atom.